VASP calculation (PBE) on a relaxed structure of AcSmSnTe.

## Properties
The formation energy from raw total energies is -1.10 eV/atom. The volume is 142 Å³/cell.

```
AcSmSnTe
1.0
-3.7388 -0.3369 2.7323
0.3431 -2.0229 4.1650
0.5479 5.9381 5.4269
Ac Sm Sn Te
1 1 1 1
direct
0.9479 0.9479 0.1562
0.4401 0.4401 0.6796
0.7002 0.7002 0.8995
0.1882 0.1882 0.4355
```